[1]
VASP calculation (PBE) on crystalline Cd2BiCl8 at its relaxed geometry.

Results
As for the total energy: -2.630 eV per atom. As for the crystal system: tetragonal. As for the formation energy (no corrections): -0.7681 eV per atom.

Cell: 7.010 7.010 8.011 Å, 115.95 115.95 90.00°
Positions (direct):
Cd 0.750 0.250 0.500
Cd 0.250 0.750 0.500
Bi 0.500 0.500 0.000
Cl 0.801 0.318 0.233
Cl 0.085 0.568 0.767
Cl 0.682 0.199 0.767
Cl 0.199 0.085 0.767
Cl 0.432 0.915 0.233
Cl 0.915 0.801 0.233
Cl 0.318 0.432 0.233
Cl 0.568 0.682 0.767


[2]
VASP calculation (PBE) on crystalline Cd2BiCl6 at its relaxed geometry.

Results
As for the total energy: -2.743 eV per atom. As for the crystal system: monoclinic. As for the formation energy (no corrections): -0.8778 eV per atom.

Cell: 5.160 7.021 8.803 Å, 100.50 90.00 111.56°
Positions (direct):
Cd 0.764 0.529 0.823
Cd 0.236 0.471 0.177
Bi 0.000 0.000 0.500
Cl 0.950 0.900 0.787
Cl 0.759 0.518 0.122
Cl 0.241 0.482 0.878
Cl 0.622 0.244 0.579
Cl 0.378 0.756 0.421
Cl 0.050 0.100 0.213


[3]
VASP calculation (PBE) on crystalline CdBi2Cl at its relaxed geometry.

Results
As for the total energy: -2.716 eV per atom. As for the crystal system: cubic. As for the formation energy (no corrections): -0.0854 eV per atom. For the excess energy over the best structure of this formula in the dataset, the calculation gives 0.058 eV/atom.

Cell: 5.315 5.315 5.315 Å, 60.00 60.00 60.00°
Positions (direct):
Cl 0.000 0.000 0.000
Bi 0.250 0.250 0.250
Bi 0.750 0.750 0.750
Cd 0.500 0.500 0.500


[4]
VASP calculation (PBE) on crystalline Cd2Bi2Cl at its relaxed geometry.

Results
As for the total energy: -2.326 eV per atom. As for the crystal system: tetragonal. As for the formation energy (no corrections): -0.0386 eV per atom. For the excess energy over the best structure of this formula in the dataset, the calculation gives 0.027 eV/atom.

Cell: 8.738 8.738 3.721 Å, 90.00 90.00 90.00°
Positions (direct):
Cl 0.000 0.000 0.000
Cl 0.500 0.500 0.000
Bi 0.317 0.817 0.000
Bi 0.817 0.683 0.000
Bi 0.683 0.183 0.000
Bi 0.183 0.317 0.000
Cd 0.121 0.621 0.500
Cd 0.621 0.879 0.500
Cd 0.879 0.379 0.500
Cd 0.379 0.121 0.500


[5]
VASP calculation (PBE) on crystalline CdBi2Cl at its relaxed geometry.

Results
As for the total energy: -2.774 eV per atom. As for the crystal system: tetragonal. As for the formation energy (no corrections): -0.1431 eV per atom. For the excess energy over the best structure of this formula in the dataset, the calculation gives 0.000 eV/atom.

Cell: 4.629 4.629 11.985 Å, 78.86 78.86 90.00°
Positions (direct):
Cl 0.500 0.500 0.000
Cl 0.250 0.750 0.500
Bi 0.662 0.125 0.250
Bi 0.088 0.625 0.250
Bi 0.375 0.338 0.750
Bi 0.875 0.912 0.750
Cd 0.000 0.000 0.000
Cd 0.750 0.250 0.500


[6]
VASP calculation (PBE) on crystalline Cd2Bi2Cl at its relaxed geometry.

Results
As for the total energy: -2.354 eV per atom. As for the crystal system: tetragonal. As for the formation energy (no corrections): -0.0661 eV per atom. For the excess energy over the best structure of this formula in the dataset, the calculation gives 0.000 eV/atom.

Cell: 4.100 4.100 8.997 Å, 76.83 76.83 90.00°
Positions (direct):
Cl 0.000 0.000 0.000
Bi 0.388 0.388 0.223
Bi 0.612 0.612 0.777
Cd 0.750 0.250 0.500
Cd 0.250 0.750 0.500


[7]
VASP calculation (PBE) on crystalline Cd3BiCl at its relaxed geometry.

Results
As for the total energy: -1.425 eV per atom. As for the crystal system: cubic. As for the formation energy (no corrections): 0.2698 eV per atom. For the excess energy over the best structure of this formula in the dataset, the calculation gives 0.249 eV/atom.

Cell: 5.348 5.348 5.348 Å, 90.00 90.00 90.00°
Positions (direct):
Cl 0.000 0.000 0.000
Bi 0.500 0.500 0.500
Cd 0.000 0.500 0.000
Cd 0.000 0.000 0.500
Cd 0.500 0.000 0.000


[8]
VASP calculation (PBE) on crystalline Cd2BiCl at its relaxed geometry.

Results
As for the total energy: -2.187 eV per atom. As for the crystal system: tetragonal. As for the formation energy (no corrections): -0.2979 eV per atom. For the excess energy over the best structure of this formula in the dataset, the calculation gives 0.000 eV/atom.

Cell: 6.421 6.421 8.330 Å, 67.33 67.33 90.00°
Positions (direct):
Cl 0.500 0.500 0.000
Cl 0.250 0.750 0.500
Bi 0.000 0.000 0.000
Bi 0.750 0.250 0.500
Cd 0.628 0.125 0.250
Cd 0.122 0.625 0.250
Cd 0.375 0.372 0.750
Cd 0.875 0.878 0.750


[9]
VASP calculation (PBE) on crystalline CdBiCl5 at its relaxed geometry.

Results
As for the total energy: -2.989 eV per atom. As for the crystal system: monoclinic. As for the formation energy (no corrections): -0.9853 eV per atom. For the excess energy over the best structure of this formula in the dataset, the calculation gives 0.000 eV/atom.

Cell: 9.093 10.847 13.529 Å, 90.00 90.00 131.70°
Positions (direct):
Cd 0.444 0.350 0.759
Cd 0.056 0.150 0.259
Cd 0.556 0.650 0.241
Cd 0.944 0.850 0.741
Bi 0.744 0.252 0.008
Bi 0.756 0.248 0.508
Bi 0.256 0.748 0.992
Bi 0.244 0.752 0.492
Cl 0.034 0.444 0.881
Cl 0.466 0.056 0.381
Cl 0.966 0.556 0.119
Cl 0.534 0.944 0.619
Cl 0.100 0.511 0.619
Cl 0.400 0.989 0.119
Cl 0.900 0.489 0.381
Cl 0.600 0.011 0.881
Cl 0.972 0.179 0.430
Cl 0.528 0.321 0.930
Cl 0.028 0.821 0.570
Cl 0.472 0.679 0.070
Cl 0.951 0.182 0.096
Cl 0.549 0.318 0.596
Cl 0.049 0.818 0.904
Cl 0.451 0.682 0.404
Cl 0.074 0.139 0.747
Cl 0.426 0.361 0.247
Cl 0.926 0.861 0.253
Cl 0.574 0.639 0.753


[10]
VASP calculation (PBE) on crystalline CdBi3Cl at its relaxed geometry.

Results
As for the total energy: -2.287 eV per atom. As for the crystal system: cubic. As for the formation energy (no corrections): 0.5942 eV per atom. For the excess energy over the best structure of this formula in the dataset, the calculation gives 0.086 eV/atom.

Cell: 5.577 5.577 5.577 Å, 90.00 90.00 90.00°
Positions (direct):
Cl 0.000 0.000 0.000
Bi 0.000 0.500 0.000
Bi 0.000 0.000 0.500
Bi 0.500 0.000 0.000
Cd 0.500 0.500 0.500


[11]
VASP calculation (PBE) on crystalline Cd2BiCl at its relaxed geometry.

Results
As for the total energy: -1.995 eV per atom. As for the crystal system: cubic. As for the formation energy (no corrections): -0.1056 eV per atom. For the excess energy over the best structure of this formula in the dataset, the calculation gives 0.192 eV/atom.

Cell: 5.260 5.260 5.260 Å, 60.00 60.00 60.00°
Positions (direct):
Cl 0.000 0.000 0.000
Bi 0.500 0.500 0.500
Cd 0.250 0.250 0.250
Cd 0.750 0.750 0.750


[12]
VASP calculation (PBE) on crystalline Cd2BiCl at its relaxed geometry.

Results
As for the total energy: -2.179 eV per atom. As for the crystal system: monoclinic. As for the formation energy (no corrections): -0.2895 eV per atom. For the excess energy over the best structure of this formula in the dataset, the calculation gives 0.008 eV/atom.

Cell: 6.098 6.098 12.045 Å, 90.05 90.00 90.00°
Positions (direct):
Cd 0.746 0.000 0.869
Cd 0.254 0.000 0.131
Cd 0.746 0.500 0.631
Cd 0.254 0.500 0.369
Cd 0.751 0.501 0.120
Cd 0.249 0.499 0.880
Cd 0.751 0.999 0.380
Cd 0.249 0.001 0.620
Bi 0.247 0.500 0.625
Bi 0.753 0.500 0.375
Bi 0.247 0.000 0.875
Bi 0.753 0.000 0.125
Cl 0.252 0.000 0.375
Cl 0.748 0.000 0.625
Cl 0.252 0.500 0.125
Cl 0.748 0.500 0.875


[13]
VASP calculation (PBE) on crystalline CdBiCl6 at its relaxed geometry.

Results
As for the total energy: -2.757 eV per atom. As for the crystal system: trigonal. As for the formation energy (no corrections): -0.7726 eV per atom.

Cell: 6.626 6.625 7.147 Å, 62.38 62.38 60.00°
Positions (direct):
Cd 0.500 0.500 0.500
Bi 0.000 0.000 0.000
Cl 0.088 0.411 0.748
Cl 0.753 0.088 0.748
Cl 0.589 0.247 0.252
Cl 0.247 0.912 0.252
Cl 0.912 0.589 0.252
Cl 0.411 0.753 0.748


[14]
VASP calculation (PBE) on crystalline CdBiCl at its relaxed geometry.

Results
As for the total energy: -2.697 eV per atom. As for the crystal system: triclinic. As for the formation energy (no corrections): -0.4827 eV per atom. For the excess energy over the best structure of this formula in the dataset, the calculation gives 0.000 eV/atom.

Cell: 4.279 8.010 7.069 Å, 116.51 107.63 90.01°
Positions (direct):
Cd 0.647 0.547 0.231
Cd 0.878 0.195 0.689
Bi 0.657 0.199 0.250
Bi 0.992 0.970 0.919
Cl 0.210 0.761 0.356
Cl 0.433 0.458 0.802


[15]
VASP calculation (PBE) on crystalline Cd3BiCl at its relaxed geometry.

Results
As for the total energy: -1.674 eV per atom. As for the crystal system: cubic. As for the formation energy (no corrections): 0.0204 eV per atom. For the excess energy over the best structure of this formula in the dataset, the calculation gives 0.000 eV/atom.

Cell: 5.851 5.851 5.851 Å, 90.00 90.00 90.00°
Positions (direct):
Cl 0.500 0.500 0.500
Bi 0.000 0.000 0.000
Cd 0.000 0.500 0.000
Cd 0.000 0.000 0.500
Cd 0.500 0.000 0.000


[16]
VASP calculation (PBE) on crystalline CdBi3Cl at its relaxed geometry.

Results
As for the total energy: -2.373 eV per atom. As for the crystal system: cubic. As for the formation energy (no corrections): 0.5080 eV per atom. For the excess energy over the best structure of this formula in the dataset, the calculation gives 0.000 eV/atom.

Cell: 5.706 5.706 5.706 Å, 90.00 90.00 90.00°
Positions (direct):
Cl 0.500 0.500 0.500
Bi 0.000 0.500 0.000
Bi 0.000 0.000 0.500
Bi 0.500 0.000 0.000
Cd 0.000 0.000 0.000


[17]
VASP calculation (PBE) on crystalline CsCdBi2Cl at its relaxed geometry.

Results
As for the total energy: -1.344 eV per atom. As for the crystal system: tetragonal. As for the formation energy (no corrections): 0.9316 eV per atom.

Cell: 6.719 6.949 6.719 Å, 90.00 90.00 90.00°
Last column: magnetic moment on the atom in μB.
Positions (direct):
Cs 0.000 0.000 0.000  0.08
Cl 0.500 0.500 0.500  0.20
Bi 0.000 0.000 0.500  1.06
Bi 0.500 0.000 0.000  0.94
Cd 0.000 0.500 0.000  0.02


[18]
VASP calculation (PBE) on crystalline CsCdBi2Cl8 at its relaxed geometry.

Results
As for the total energy: -3.062 eV per atom. As for the crystal system: trigonal. As for the formation energy (no corrections): -1.0363 eV per atom.

Cell: 7.154 7.154 9.780 Å, 68.55 68.55 60.00°
Last column: magnetic moment on the atom in μB.
Positions (direct):
Cs 0.500 0.500 0.500  0.00
Cd 0.000 0.000 0.000  0.00
Bi 0.293 0.293 0.122  0.27
Bi 0.707 0.707 0.878  0.27
Cl 0.197 0.197 0.408  0.01
Cl 0.674 0.295 0.156  0.02
Cl 0.803 0.803 0.592  0.01
Cl 0.875 0.674 0.156  0.02
Cl 0.125 0.326 0.844  0.02
Cl 0.295 0.875 0.156  0.02
Cl 0.705 0.125 0.844  0.02
Cl 0.326 0.705 0.844  0.02


[19]
VASP calculation (PBE) on crystalline CsCdBiCl6 at its relaxed geometry.

Results
As for the total energy: -3.154 eV per atom. As for the crystal system: trigonal. As for the formation energy (no corrections): -1.2950 eV per atom.

Cell: 7.097 7.097 7.717 Å, 90.00 90.00 60.00°
Positions (direct):
Cs 0.000 0.000 0.000
Cd 0.333 0.333 0.500
Bi 0.667 0.667 0.500
Cl 0.007 0.375 0.299
Cl 0.375 0.007 0.701
Cl 0.617 0.375 0.701
Cl 0.007 0.617 0.701
Cl 0.375 0.617 0.299
Cl 0.617 0.007 0.299


[20]
VASP calculation (PBE) on crystalline CdGaBiCl2 at its relaxed geometry.

Results
As for the total energy: -2.595 eV per atom. As for the crystal system: tetragonal. As for the formation energy (no corrections): -0.2916 eV per atom.

Cell: 4.833 5.947 4.833 Å, 90.00 90.00 90.00°
Positions (direct):
Cl 0.000 0.000 0.500
Cl 0.500 0.000 0.000
Bi 0.000 0.500 0.000
Ga 0.000 0.000 0.000
Cd 0.500 0.500 0.500


[21]
VASP calculation (PBE) on crystalline K2CdBiCl at its relaxed geometry.

Results
As for the total energy: -2.049 eV per atom. As for the crystal system: tetragonal. As for the formation energy (no corrections): -0.2810 eV per atom.

Cell: 6.934 5.724 6.934 Å, 90.00 90.00 90.00°
Positions (direct):
K 0.000 0.000 0.500
K 0.500 0.000 0.000
Cl 0.000 0.500 0.000
Bi 0.000 0.000 0.000
Cd 0.500 0.500 0.500


[22]
VASP calculation (PBE) on crystalline KCd2BiCl8 at its relaxed geometry.

Results
As for the total energy: -2.960 eV per atom. As for the crystal system: triclinic. As for the formation energy (no corrections): -1.1617 eV per atom.

Cell: 6.609 6.311 8.404 Å, 89.64 89.72 89.27°
Positions (direct):
K 0.000 0.000 0.500
Cd 0.498 0.498 0.741
Cd 0.502 0.502 0.259
Bi 0.000 0.000 0.000
Cl 0.173 0.747 0.225
Cl 0.664 0.730 0.001
Cl 0.825 0.251 0.225
Cl 0.827 0.253 0.775
Cl 0.336 0.270 0.999
Cl 0.175 0.749 0.775
Cl 0.633 0.724 0.500
Cl 0.367 0.276 0.500


[23]
VASP calculation (PBE) on crystalline LiCdBiCl6 at its relaxed geometry.

Results
As for the total energy: -3.151 eV per atom. As for the crystal system: trigonal. As for the formation energy (no corrections): -1.1742 eV per atom.

Cell: 6.777 6.777 11.989 Å, 90.00 90.00 120.00°
Positions (direct):
Li 0.000 0.000 0.000
Li 0.000 0.000 0.500
Cd 0.333 0.667 0.250
Cd 0.667 0.333 0.750
Bi 0.667 0.333 0.250
Bi 0.333 0.667 0.750
Cl 0.660 0.668 0.124
Cl 0.008 0.340 0.124
Cl 0.340 0.008 0.624
Cl 0.992 0.660 0.876
Cl 0.332 0.340 0.376
Cl 0.008 0.668 0.376
Cl 0.668 0.008 0.876
Cl 0.660 0.992 0.376
Cl 0.992 0.332 0.624
Cl 0.332 0.992 0.124
Cl 0.668 0.660 0.624
Cl 0.340 0.332 0.876


[24]
VASP calculation (PBE) on crystalline Mn2CdBiCl at its relaxed geometry.

Results
As for the total energy: -4.165 eV per atom. As for the crystal system: tetragonal. As for the formation energy (no corrections): 0.8314 eV per atom.

Cell: 5.293 5.004 5.293 Å, 90.00 90.00 90.00°
Last column: magnetic moment on the atom in μB.
Positions (direct):
Cl 0.000 0.500 0.000  -0.02
Mn 0.000 0.000 0.500  4.20
Mn 0.500 0.000 0.000  4.05
Bi 0.500 0.500 0.500  -0.58
Cd 0.000 0.000 0.000  -0.06